VASP calculation (GGA-PBE) on a relaxed Ni4Mo3 crystal.

**Raw total energy**: -7.677 eV per atom
**ΔE to the lowest computed polymorph**: 0.235 eV per atom

Unit cell a=4.967 b=4.967 c=4.581 alpha=90.00 beta=90.00 gamma=120.00
Fractional positions:
Ni: 0.667 0.333 0.500
Mo: 0.000 0.500 0.000
Ni: 0.333 0.667 0.500
Ni: 0.000 0.000 0.258
Mo: 0.500 0.000 0.000
Ni: 0.000 0.000 0.742
Mo: 0.500 0.500 0.000


VASP calculation (GGA-PBE) on a relaxed NiMo crystal.

**Raw total energy**: -8.278 eV per atom

Unit cell a=9.854 b=4.155 c=5.203 alpha=90.00 beta=90.00 gamma=90.00
Fractional positions:
Ni: 0.805 0.250 0.592
Mo: 0.945 0.750 0.345
Ni: 0.894 0.750 0.817
Ni: 0.606 0.250 0.317
Mo: 0.156 0.750 0.919
Ni: 0.195 0.750 0.408
Mo: 0.055 0.250 0.655
Ni: 0.695 0.750 0.092
Mo: 0.445 0.750 0.155
Mo: 0.555 0.250 0.845
Mo: 0.344 0.250 0.419
Ni: 0.394 0.750 0.683
Ni: 0.106 0.250 0.183
Ni: 0.305 0.250 0.908
Mo: 0.656 0.750 0.581
Mo: 0.844 0.250 0.081


VASP calculation (GGA-PBE) on a relaxed NiMo4 crystal.

**Raw total energy**: -9.678 eV per atom
**ΔE to the lowest computed polymorph**: 0.000 eV per atom

Unit cell a=5.104 b=5.104 c=5.104 alpha=95.68 beta=95.68 gamma=143.32
Fractional positions:
Mo: 0.607 0.199 0.806
Ni: 0.000 0.000 0.000
Mo: 0.199 0.393 0.593
Mo: 0.393 0.801 0.194
Mo: 0.801 0.607 0.407


VASP calculation (GGA-PBE) on a relaxed Ni5Mo4 crystal.

**Raw total energy**: -7.896 eV per atom
**ΔE to the lowest computed polymorph**: 0.092 eV per atom

Unit cell a=7.295 b=7.295 c=5.173 alpha=90.00 beta=90.00 gamma=60.00
Fractional positions:
Ni: 0.661 0.000 0.250
Ni: 0.339 0.661 0.250
Ni: 0.000 0.339 0.250
Mo: 0.332 0.668 0.750
Ni: 0.667 0.667 0.000
Ni: 0.000 0.661 0.750
Mo: 0.332 0.000 0.250
Ni: 0.339 0.000 0.750
Ni: 0.661 0.339 0.750
Mo: 0.000 0.332 0.750
Ni: 0.333 0.333 0.000
Mo: 0.000 0.000 0.000
Ni: 0.333 0.333 0.500
Mo: 0.000 0.000 0.500
Mo: 0.668 0.000 0.750
Ni: 0.667 0.667 0.500
Mo: 0.000 0.668 0.250
Mo: 0.668 0.332 0.250


| no. | E_form (eV per atom) | N(E_F) (states/eV per cell) | mass density (Mg/m³) |
| --- | --- | --- | --- |
| 1 | 0.27 | 4.19 | 8.87 |
| 2 | 0.03 | 11.56 | 9.64 |
| 3 | 0.14 | 6.01 | 9.75 |
| 4 | 0.13 | 20.54 | 9.43 |